Entry 1:
# PBE NaCe2Pb9, relaxed
# Total magnetic moment = 2.0 μB per formula unit
# Calculated formation energy = -0.262 eV per atom
# DOS(E_F) = 13.647 states/eV/cell
data_NaCe2Pb9
_chemical_formula_sum 'Na1 Ce2 Pb9'
_symmetry_space_group_name_H-M 'P 4/m m m'
_symmetry_Int_Tables_number 123
_symmetry_space_group_name_Hall '-P 4 2'
_cell_length_a 4.8837
_cell_length_b 4.8837
_cell_length_c 14.9564
_cell_angle_alpha 90.00
_cell_angle_beta 90.00
_cell_angle_gamma 90.00
loop_
_atom_site_label
_atom_site_fract_x
_atom_site_fract_y
_atom_site_fract_z
_atom_site_occupancy
Na1 0.0000 0.0000 0.0000 1
Ce1 0.0000 0.0000 0.3401 1
Pb1 0.0000 0.5000 0.1648 1
Pb2 0.0000 0.5000 0.5000 1
Pb3 0.5000 0.5000 0.0000 1
Pb4 0.5000 0.5000 0.3311 1

Entry 2:
# PBE Na2CePb9, relaxed
# Total magnetic moment = 1.1 μB per formula unit
# Calculated formation energy = -0.180 eV per atom
# DOS(E_F) = 9.682 states/eV/cell
data_Na2CePb9
_chemical_formula_sum 'Na2 Ce1 Pb9'
_symmetry_space_group_name_H-M 'P 4/m m m'
_symmetry_Int_Tables_number 123
_symmetry_space_group_name_Hall '-P 4 2'
_cell_length_a 4.8905
_cell_length_b 4.8905
_cell_length_c 15.0395
_cell_angle_alpha 90.00
_cell_angle_beta 90.00
_cell_angle_gamma 90.00
loop_
_atom_site_label
_atom_site_fract_x
_atom_site_fract_y
_atom_site_fract_z
_atom_site_occupancy
Na1 0.0000 0.0000 0.1688 1
Ce1 0.0000 0.0000 0.5000 1
Pb1 0.0000 0.5000 0.0000 1
Pb2 0.0000 0.5000 0.3313 1
Pb3 0.5000 0.5000 0.1637 1
Pb4 0.5000 0.5000 0.5000 1

Entry 3:
# PBE NaCePb, relaxed
# Total magnetic moment = 1.0 μB per formula unit
# ΔE to the lowest computed polymorph = 90.1 meV per atom
# Calculated formation energy = -0.016 eV per atom
# DOS(E_F) = 40.856 states/eV/cell
data_NaCePb
_chemical_formula_sum 'Na6 Ce6 Pb6'
_symmetry_space_group_name_H-M 'R -3 m'
_symmetry_Int_Tables_number 166
_symmetry_space_group_name_Hall '-R 3 2"'
_cell_length_a 5.0505
_cell_length_b 5.0505
_cell_length_c 27.1575
_cell_angle_alpha 90.00
_cell_angle_beta 90.00
_cell_angle_gamma 120.00
loop_
_atom_site_label
_atom_site_fract_x
_atom_site_fract_y
_atom_site_fract_z
_atom_site_occupancy
Na1 0.0000 0.0000 0.1384 1
Ce1 0.0000 0.0000 0.2932 1
Pb1 0.0000 0.0000 0.4221 1

Entry 4:
# PBE NaCe3Pb4, relaxed
# Total magnetic moment = 3.4 μB per formula unit
# Calculated formation energy = -0.341 eV per atom
# DOS(E_F) = 40.542 states/eV/cell
data_NaCe3Pb4
_chemical_formula_sum 'Na2 Ce6 Pb8'
_symmetry_space_group_name_H-M 'I 4/m m m'
_symmetry_Int_Tables_number 139
_symmetry_space_group_name_Hall '-I 4 2'
_cell_length_a 5.0661
_cell_length_b 5.0661
_cell_length_c 18.2691
_cell_angle_alpha 90.00
_cell_angle_beta 90.00
_cell_angle_gamma 90.00
loop_
_atom_site_label
_atom_site_fract_x
_atom_site_fract_y
_atom_site_fract_z
_atom_site_occupancy
Na1 0.0000 0.0000 0.0000 1
Ce1 0.0000 0.0000 0.2528 1
Ce2 0.0000 0.0000 0.5000 1
Pb1 0.0000 0.5000 0.1227 1

Entry 5:
# PBE NaCePb, relaxed
# Total magnetic moment = 1.4 μB per formula unit
# ΔE to the lowest computed polymorph = 77.2 meV per atom
# Calculated formation energy = -0.029 eV per atom
# DOS(E_F) = 15.559 states/eV/cell
data_NaCePb
_chemical_formula_sum 'Na2 Ce2 Pb2'
_symmetry_space_group_name_H-M 'I 4 m m'
_symmetry_Int_Tables_number 107
_symmetry_space_group_name_Hall 'I 4 -2'
_cell_length_a 3.4215
_cell_length_b 3.4215
_cell_length_c 15.8819
_cell_angle_alpha 90.00
_cell_angle_beta 90.00
_cell_angle_gamma 90.00
loop_
_atom_site_label
_atom_site_fract_x
_atom_site_fract_y
_atom_site_fract_z
_atom_site_occupancy
Na1 0.0000 0.0000 0.0000 1
Ce1 0.0000 0.0000 0.6976 1
Pb1 0.0000 0.0000 0.3484 1

Entry 6:
# PBE Na2CePb3, relaxed
# Total magnetic moment = 1.0 μB per formula unit
# ΔE to the lowest computed polymorph = 7.1 meV per atom
# Calculated formation energy = -0.210 eV per atom
# DOS(E_F) = 33.708 states/eV/cell
data_Na2CePb3
_chemical_formula_sum 'Na8 Ce4 Pb12'
_symmetry_space_group_name_H-M 'C m m m'
_symmetry_Int_Tables_number 65
_symmetry_space_group_name_Hall '-C 2 2'
_cell_length_a 5.4412
_cell_length_b 16.5646
_cell_length_c 7.7236
_cell_angle_alpha 90.00
_cell_angle_beta 90.00
_cell_angle_gamma 90.00
loop_
_atom_site_label
_atom_site_fract_x
_atom_site_fract_y
_atom_site_fract_z
_atom_site_occupancy
Na1 0.0000 0.0000 0.0000 1
Na2 0.0000 0.0000 0.5000 1
Na3 0.0000 0.3325 0.0000 1
Ce1 0.0000 0.3413 0.5000 1
Pb1 0.0000 0.1655 0.2459 1
Pb2 0.0000 0.5000 0.2347 1

Question: Among the records above, which one has the highest calculated formation energy?
Answer: number 3